No. 1
First-principles (GGA-PBE) data for a relaxed structure of LaTiPt2, as listed in Alexandria via LeMat-Bulk.

Properties
Final energy = -7.152 eV per atom
Magnetization = 0.001 Bohr magnetons per cell
Energy relative to the elements = -0.926 eV/atom

a b c (Å): 3.2417 3.2417 7.4778
angles (deg): 90.00 90.00 90.00
Closest atoms and distances in Å follow each position.
Space group P4/mmm (No. 123)
Inequivalent atoms, fractional coordinates:
La (0.0000, 0.0000, 0.0000) x1  4 La 3.24, 8 Pt 3.24
Ti (0.0000, 0.0000, 0.5000) x1  8 Pt 2.71
Pt (0.5000, 0.5000, 0.3071) x2  4 Ti 2.71, 1 Pt 2.89

No. 2
First-principles (GGA-PBE) data for a relaxed structure of LaTi2Pt3, as listed in Alexandria via LeMat-Bulk.

Properties
Final energy = -7.364 eV per atom
Magnetization = 0.000 Bohr magnetons per cell
Energy relative to the elements = -0.891 eV/atom

a b c (Å): 10.5438 8.0478 5.6981
angles (deg): 90.00 90.00 90.00
Closest atoms and distances in Å follow each position.
Space group Cmcm (No. 63)
Inequivalent atoms, fractional coordinates:
La (0.0000, 0.1679, 0.2500) x4  7 Pt 3.03-3.38
Ti (0.2067, 0.5000, 0.0000) x8  4 Pt 2.51-2.63
Pt (0.0000, 0.4550, 0.7500) x4  4 Ti 2.63, 4 Pt 2.73-2.94
Pt (0.1643, 0.1934, 0.7500) x8  2 Ti 2.51, 1 Pt 2.73

No. 3
First-principles (GGA-PBE) data for a relaxed structure of LaTi3Pt, as listed in Alexandria via LeMat-Bulk.

Properties
Final energy = -5.741 eV per atom
Magnetization = 0.000 Bohr magnetons per cell
Energy relative to the elements = 1.189 eV/atom

a b c (Å): 4.6941 4.6941 4.6941
angles (deg): 90.00 90.00 90.00
Closest atoms and distances in Å follow each position.
Space group Pm-3m (No. 221)
Inequivalent atoms, fractional coordinates:
La (0.0000, 0.0000, 0.0000) x1  6 Ti 2.35
Ti (0.0000, 0.0000, 0.5000) x3  2 La 2.35
Pt (0.5000, 0.5000, 0.5000) x1  12 Ti 3.32

No. 4
First-principles (GGA-PBE) data for a relaxed structure of LaTi3Pt, as listed in Alexandria via LeMat-Bulk.

Properties
Final energy = -6.862 eV per atom
Magnetization = 0.901 Bohr magnetons per cell
Energy relative to the elements = 0.068 eV/atom

a b c (Å): 4.9154 4.9154 4.9154
angles (deg): 90.00 90.00 90.00
Closest atoms and distances in Å follow each position.
Space group Pm-3m (No. 221)
Inequivalent atoms, fractional coordinates:
La (0.0000, 0.0000, 0.0000) x1  12 Ti 3.48
Ti (0.0000, 0.5000, 0.5000) x3  2 Pt 2.46
Pt (0.5000, 0.5000, 0.5000) x1  6 Ti 2.46